The following is a PBE-GGA calculation of crystalline TlIn3Pb at its relaxed geometry, from Alexandria.

Cell lengths 5.830, 6.066, 9.768 Å; angles 71.91, 90.00, 90.00 degrees
Element x y z (fractional)
Tl 0.750 0.151 0.697
Tl 0.250 0.849 0.303
In 0.750 0.044 0.398
In 0.750 0.558 0.398
In 0.250 0.442 0.602
In 0.250 0.956 0.602
In 0.000 0.000 0.000
In 0.500 0.000 0.000
Pb 0.750 0.455 0.091
Pb 0.250 0.545 0.909

Energy of formation from the pure elements in eV/atom: 0.141
Final energy in eV per atom: -2.717
Polymorph energy (0 for the lowest one) in meV/atom: 119
Magnetization in μB/atom: 0.00

***

The following is a PBE-GGA calculation of crystalline ZrV2Co2 at its relaxed geometry, from Alexandria.

Cell lengths 3.954, 3.954, 5.485 Å; angles 68.88, 68.88, 90.00 degrees
Element x y z (fractional)
Co 0.378 0.378 0.244
Co 0.622 0.622 0.756
Zr 0.000 0.000 0.000
V 0.750 0.250 0.500
V 0.250 0.750 0.500

Energy of formation from the pure elements in eV/atom: -0.137
Final energy in eV per atom: -8.336
Polymorph energy (0 for the lowest one) in meV/atom: 0
Magnetization in μB/atom: 0.00

***

The following is a PBE-GGA calculation of crystalline Li2CuF4 at its relaxed geometry, from Alexandria.

Cell lengths 5.781, 5.781, 9.158 Å; angles 90.00, 90.00, 90.00 degrees
Element x y z (fractional)
Li 0.757 0.757 0.875
Li 0.243 0.757 0.125
Li 0.757 0.243 0.625
Li 0.243 0.243 0.375
Li 0.737 0.500 0.250
Li 0.500 0.263 0.000
Li 0.500 0.737 0.500
Li 0.263 0.500 0.750
Cu 0.000 0.736 0.500
Cu 0.264 0.000 0.750
Cu 0.736 0.000 0.250
Cu 0.000 0.264 0.000
F 0.243 0.969 0.494
F 0.757 0.969 0.506
F 0.031 0.243 0.744
F 0.757 0.031 0.994
F 0.245 0.493 0.992
F 0.507 0.245 0.242
F 0.493 0.755 0.742
F 0.245 0.507 0.508
F 0.755 0.493 0.008
F 0.755 0.507 0.492
F 0.493 0.245 0.758
F 0.507 0.755 0.258
F 0.969 0.243 0.256
F 0.243 0.031 0.006
F 0.969 0.757 0.244
F 0.031 0.757 0.756

Final energy in eV per atom: -4.543
Polymorph energy (0 for the lowest one) in meV/atom: 0
ΔE_f (raw) in meV/atom: -2342
Magnetization in μB/atom: 0.14

***

The following is a PBE-GGA calculation of crystalline EuDyZnAu at its relaxed geometry, from Alexandria.

Cell lengths 5.171, 5.171, 5.171 Å; angles 60.00, 60.00, 60.00 degrees
Element x y z (fractional)
Eu 0.750 0.750 0.750
Zn 0.000 0.000 0.000
Au 0.500 0.500 0.500
Dy 0.250 0.250 0.250

Energy of formation from the pure elements in eV/atom: -0.527
Final energy in eV per atom: -5.384
Magnetization in μB/atom: 1.78

***

Among the records above, which one has the highest final energy? TlIn3Pb

***

The highest final energy belongs to which entry? TlIn3Pb

***

What is the formula in the third record? Li2CuF4